[1]
DFT (PBE-GGA) results for a relaxed K2NiPdCl6 crystal.

E_form (uncorrected) (meV per atom): -1072

```
data_K2NiPdCl6
_cell_length_a 6.901
_cell_length_b 6.901
_cell_length_c 9.772
_cell_angle_alpha 90.00
_cell_angle_beta 90.00
_cell_angle_gamma 90.00
_space_group_name_H-M_alt 'I 4/m m m'
_space_group_IT_number 139
_space_group_name_Hall '-I 4 2'
loop_
_atom_site_label
_atom_site_fract_x
_atom_site_fract_y
_atom_site_fract_z
K1 0.000 0.500 0.250
Ni1 0.000 0.000 0.000
Pd1 0.000 0.000 0.500
Cl1 0.000 0.000 0.242
Cl2 0.244 0.244 0.000
```

---

[2]
DFT (PBE-GGA) results for a relaxed Ac2SiPt crystal.

E_form (uncorrected) (meV per atom): -693

```
data_Ac2SiPt
_cell_length_a 3.785
_cell_length_b 3.785
_cell_length_c 7.753
_cell_angle_alpha 90.00
_cell_angle_beta 90.00
_cell_angle_gamma 90.00
_space_group_name_H-M_alt 'P 4/m m m'
_space_group_IT_number 123
_space_group_name_Hall '-P 4 2'
loop_
_atom_site_label
_atom_site_fract_x
_atom_site_fract_y
_atom_site_fract_z
Ac1 0.000 0.000 0.246
Si1 0.500 0.500 0.500
Pt1 0.500 0.500 0.000
```

---

Short version: E = -3.50 -5.61 eV per atom, in the order given.
Short version: size of the total moment = 0.5 0.0 μB per cell, in the order given.